[1]
Nb3MoS4 | PBE | optimized geometry

a b c (Å): 9.126 4.957 6.127
angles (deg): 90.00 90.00 90.00
Positions (direct):
Nb 0.000 0.207 0.000
Nb 0.233 0.154 0.618
Nb 0.267 0.846 0.118
Nb 0.500 0.793 0.500
Nb 0.733 0.846 0.118
Nb 0.767 0.154 0.618
Mo 0.000 0.814 0.700
Mo 0.500 0.186 0.200
S 0.000 0.195 0.419
S 0.000 0.710 0.076
S 0.230 0.667 0.493
S 0.270 0.333 0.993
S 0.500 0.290 0.576
S 0.500 0.805 0.919
S 0.730 0.333 0.993
S 0.770 0.667 0.493

Properties
For the total energy, the calculation gives -124.9 eV for the cell shown. The uncorrected formation energy comes out at -610 meV/atom.

=====

[2]
ScAgSb2 | PBE | optimized geometry

a b c (Å): 5.785 11.808 8.173
angles (deg): 90.00 134.88 90.00
Positions (direct):
Sc 0.001 0.044 0.248
Sc 0.001 0.456 0.748
Sc 0.999 0.544 0.252
Sc 0.999 0.956 0.752
Ag 0.499 0.249 0.255
Ag 0.499 0.251 0.755
Ag 0.501 0.749 0.245
Ag 0.501 0.751 0.745
Sb 0.001 0.710 0.745
Sb 0.001 0.790 0.245
Sb 0.496 0.001 0.748
Sb 0.496 0.499 0.248
Sb 0.504 0.501 0.752
Sb 0.504 0.999 0.252
Sb 0.999 0.210 0.755
Sb 0.999 0.290 0.255

Properties
For the total energy, the calculation gives -74.8 eV for the cell shown. The uncorrected formation energy comes out at -317 meV/atom.

=====

[3]
Ba2UCdTe5 | PBE | optimized geometry

a b c (Å): 10.398 10.398 14.264
angles (deg): 90.00 90.00 154.22
Positions (direct):
Ba 0.114 0.886 0.500
Ba 0.125 0.875 0.128
Ba 0.875 0.125 0.628
Ba 0.886 0.114 0.000
U 0.204 0.796 0.829
U 0.796 0.204 0.329
Cd 0.442 0.558 0.255
Cd 0.558 0.442 0.755
Te 0.055 0.945 0.871
Te 0.291 0.709 0.471
Te 0.303 0.697 0.181
Te 0.353 0.647 0.817
Te 0.498 0.502 0.580
Te 0.502 0.498 0.080
Te 0.647 0.353 0.317
Te 0.697 0.303 0.681
Te 0.709 0.291 0.971
Te 0.945 0.055 0.371

Properties
For the total energy, the calculation gives -83.4 eV for the cell shown. The uncorrected formation energy comes out at -1105 meV/atom.

=====

[4]
KCdSi2Hg | PBE | optimized geometry

a b c (Å): 6.361 6.361 6.886
angles (deg): 90.00 90.00 90.00
Positions (direct):
K 0.000 0.000 0.000
Cd 0.000 0.000 0.500
Si 0.000 0.500 0.000
Si 0.500 0.000 0.000
Hg 0.500 0.500 0.500

Properties
For the total energy, the calculation gives -5.7 eV for the cell shown. The uncorrected formation energy comes out at 1489 meV/atom.

=====

[5]
Ce2SmOs | PBE | optimized geometry

a b c (Å): 3.826 9.479 6.117
angles (deg): 90.00 108.20 90.00
Positions (direct):
Ce 0.141 0.060 0.283
Ce 0.141 0.440 0.283
Ce 0.859 0.560 0.717
Ce 0.859 0.940 0.717
Sm 0.424 0.250 0.849
Sm 0.576 0.750 0.151
Os 0.290 0.750 0.579
Os 0.710 0.250 0.421

Properties
The calculation puts the energy relative to the elements at -50 kJ/mol of formula units. For the total energy, the calculation gives -56.7 eV for the cell shown.

=====

[6]
SmNpBiO2 | PBE | optimized geometry

a b c (Å): 7.145 7.145 7.145
angles (deg): 147.72 147.72 46.30
Positions (direct):
Sm 0.000 0.000 0.000
Np 0.321 0.321 0.000
Bi 0.661 0.661 0.000
O 0.405 0.905 0.500
O 0.905 0.405 0.500

Properties
For the total energy, the calculation gives -42.9 eV for the cell shown. The uncorrected formation energy comes out at -2290 meV/atom.

=====

[7]
Na2LiTaSe4 | PBE | optimized geometry

a b c (Å): 6.879 3.715 7.234
angles (deg): 90.00 105.29 90.00
Positions (direct):
Na 0.000 0.000 0.000
Na 0.500 0.500 0.000
Li 0.000 0.500 0.500
Ta 0.500 0.000 0.500
Se 0.256 0.000 0.715
Se 0.275 0.500 0.289
Se 0.725 0.500 0.711
Se 0.744 0.000 0.285

Properties
For the total energy, the calculation gives -37.9 eV for the cell shown. The uncorrected formation energy comes out at -945 meV/atom.

=====

[8]
CsSNCl2 | PBE | optimized geometry

a b c (Å): 6.163 6.163 5.720
angles (deg): 90.00 90.00 90.00
Positions (direct):
Cs 0.000 0.000 0.000
S 0.000 0.000 0.500
N 0.500 0.500 0.500
Cl 0.000 0.500 0.000
Cl 0.500 0.000 0.000

Properties
For the total energy, the calculation gives -10.6 eV for the cell shown. The uncorrected formation energy comes out at 1284 meV/atom.